The following is a DFT calculation (PBE) of a relaxed structure of Np2Sb2Pd.

Calculated values
Total magnetic moment ... 0.042 μB per formula unit
Space-group type ... C2/m, No. 12
Formation energy from raw total energies ... -317 meV per atom

Cell lengths 4.8082, 6.0221, 8.6130 Å; angles 98.78, 106.21, 90.00 degrees
With the nearest neighbours (Å) after each atom.
Sites, in units of the cell vectors:
Pd (0.5851, 0.5073, 0.1702)  5 Sb 2.79-3.06
Pd (0.4149, 0.9463, 0.8298)  5 Sb 2.79-3.06
Sb (0.8278, 0.9056, 0.6556)  2 Pd 2.79, 1 Np 3.08
Sb (0.1722, 0.5482, 0.3444)  2 Pd 2.79, 1 Np 3.08
Sb (0.5968, 0.0190, 0.1935)  3 Pd 2.97-3.06, 6 Np 3.22-3.25
Sb (0.4032, 0.4348, 0.8065)  3 Pd 2.97-3.06, 6 Np 3.22-3.25
Np (0.7718, 0.3931, 0.5436)  7 Sb 3.08-3.37, 2 Np 3.14, 1 Pd 3.27
Np (0.0000, 0.2269, 0.0000)  2 Np 3.01, 4 Pd 3.14, 6 Sb 3.18-3.25
Np (0.2282, 0.0607, 0.4564)  7 Sb 3.08-3.37, 2 Np 3.14, 1 Pd 3.27
Np (0.0000, 0.7269, 0.0000)  2 Np 3.01, 4 Pd 3.18, 6 Sb 3.20-3.25